# KIr2F11

A relaxed structure of KIr2F11 (GGA-PBE, Alexandria via LeMat-Bulk).

a b c (Å): 9.581 8.724 8.724
angles (deg): 66.11 56.69 56.69
Positions (direct):
K  0.750  0.750  0.750
K  0.250  0.250  0.250
Ir  0.651  0.647  0.353
Ir  0.349  0.353  0.647
Ir  0.849  0.147  0.853
Ir  0.151  0.853  0.147
F  0.627  0.668  0.576
F  0.373  0.332  0.424
F  0.128  0.576  0.668
F  0.873  0.924  0.832
F  0.872  0.424  0.332
F  0.127  0.076  0.168
F  0.372  0.832  0.924
F  0.628  0.168  0.076
F  0.500  0.500  0.500
F  0.000  0.000  0.000
F  0.793  0.783  0.217
F  0.207  0.217  0.783
F  0.707  0.283  0.717
F  0.293  0.717  0.283
F  0.432  0.872  0.373
F  0.568  0.128  0.627
F  0.323  0.373  0.872
F  0.068  0.127  0.628
F  0.677  0.627  0.128
F  0.932  0.873  0.372
F  0.177  0.628  0.127
F  0.823  0.372  0.873

Computed properties:
Raw formation energy, eV per atom: -1.72
Space group: Ibam, No. 72
Magnetization, μB per formula unit: 4.003